1.
A geometry-optimized ErTmPtAu structure, computed with PBE.

## Properties
DFT total energy, eV/cell: -22.650
ΔE_f, eV per atom: -1.074
V, A^3/atom: 21.549
Relative energy among the computed polymorphs, kJ/mol of formula units: 17

extended XYZ file:
```
4
Lattice="4.958 0.000 0.000 2.479 4.294 0.000 2.479 1.431 4.048" Properties=species:S:1:pos:R:3 pbc="T T T"
Tm 4.958 2.863 2.024
Au 2.479 1.431 1.012
Pt 7.437 4.294 3.036
Er 0.000 0.000 0.000
```

2.
A geometry-optimized LaCeIrPd structure, computed with PBE.

## Properties
DFT total energy, eV/cell: -27.598
ΔE_f, eV per atom: -0.671
V, A^3/atom: 22.967
Relative energy among the computed polymorphs, kJ/mol of formula units: 42

extended XYZ file:
```
4
Lattice="5.065 0.000 0.000 2.532 4.386 0.000 2.532 1.462 4.135" Properties=species:S:1:pos:R:3 pbc="T T T"
Ir 0.000 0.000 0.000
Pd 5.065 2.924 2.068
Ce 2.532 1.462 1.034
La 7.597 4.386 3.102
```

3.
A geometry-optimized Sc2BiP structure, computed with PBE.

## Properties
DFT total energy, eV/cell: -49.567
ΔE_f, eV per atom: -0.707
V, A^3/atom: 23.660

extended XYZ file:
```
8
Lattice="7.416 0.000 0.000 0.000 7.416 0.000 3.708 3.708 3.441" Properties=species:S:1:pos:R:3 pbc="T T T"
Sc 5.217 1.854 0.860
Sc 2.199 5.562 0.860
Sc 5.562 5.907 2.581
Sc 9.270 8.925 2.581
P 3.708 3.708 0.000
P 3.708 7.416 1.721
Bi 0.000 0.000 0.000
Bi 7.416 3.708 1.721
```

4.
A geometry-optimized Y4Pt structure, computed with PBE.

## Properties
DFT total energy, eV/cell: -31.067
ΔE_f, eV per atom: 0.166
V, A^3/atom: 29.629
Relative energy among the computed polymorphs, kJ/mol of formula units: 319

extended XYZ file:
```
5
Lattice="3.876 7.134 5.400 -1.719 7.738 5.678 -1.147 -9.112 -3.276" Properties=species:S:1:pos:R:3 pbc="T T T"
Y -0.894 3.031 3.970
Y 1.254 8.650 6.443
Y 0.902 6.222 4.635
Y 1.903 2.729 3.832
Pt 0.000 0.000 0.000
```